Record 1
A plane-wave DFT calculation with PBE-GGA was carried out for crystalline PmNd3Mg6 at its relaxed geometry.

a = 9.479 Å, b = 5.358 Å, c = 11.458 Å
α = 90.00°, β = 105.59°, γ = 90.00°
Space group P2_1/m (No. 11)
Unique sites:
Pm 0.052 0.250 0.393 [2 per cell]
Nd 0.244 0.250 0.994 [2 per cell]
Nd 0.351 0.750 0.793 [2 per cell]
Nd 0.464 0.250 0.605 [2 per cell]
Mg 0.047 0.750 0.901 [2 per cell]
Mg 0.142 0.250 0.695 [2 per cell]
Mg 0.144 0.750 0.194 [2 per cell]
Mg 0.240 0.750 0.490 [2 per cell]
Mg 0.335 0.250 0.291 [2 per cell]
Mg 0.439 0.750 0.099 [2 per cell]



Record 2
A plane-wave DFT calculation with PBE-GGA was carried out for crystalline Pm7NdMg4 at its relaxed geometry.

a = 15.394 Å, b = 5.865 Å, c = 9.847 Å
α = 90.00°, β = 121.46°, γ = 90.00°
Space group C2/m (No. 12)
Unique sites:
Pm 0.000 0.000 0.000 [2 per cell]
Pm 0.081 0.500 0.426 [4 per cell]
Pm 0.199 0.500 0.877 [4 per cell]
Pm 0.246 0.000 0.710 [4 per cell]
Nd 0.000 0.500 0.000 [2 per cell]
Mg 0.039 0.000 0.695 [4 per cell]
Mg 0.175 0.000 0.345 [4 per cell]



Record 3
A plane-wave DFT calculation with PBE-GGA was carried out for crystalline Pm6NdMg2 at its relaxed geometry.

a = 7.3486 Å, b = 7.3486 Å, c = 19.4165 Å
α = 90.00°, β = 90.00°, γ = 120.00°
Space group R3m (No. 160, hexagonal axes)
Unique sites:
Pm 0.1697 0.3394 0.0000 [9 per cell]
Pm 0.1870 0.3739 0.1980 [9 per cell]
Nd 0.0000 0.0000 0.1122 [3 per cell]
Mg 0.0000 0.0000 0.6805 [3 per cell]
Mg 0.0000 0.0000 0.8566 [3 per cell]

**Excess energy over the best structure of this formula in the dataset**: 0.273 eV per atom



Record 4
A plane-wave DFT calculation with PBE-GGA was carried out for crystalline Pm2Nd6Mg at its relaxed geometry.

a = 10.856 Å, b = 10.856 Å, c = 5.168 Å
α = 90.00°, β = 90.00°, γ = 90.00°
Space group P4_2/mnm (No. 136)
Unique sites:
Pm 0.167 0.167 0.000 [4 per cell]
Nd 0.001 0.332 0.500 [8 per cell]
Nd 0.165 0.835 0.000 [4 per cell]
Mg 0.000 0.000 0.500 [2 per cell]

**Excess energy over the best structure of this formula in the dataset**: 0.000 eV per atom



Formation enthalpy at 0 K readings, ordered: -0.0884, 0.1273, 0.3785, 0.0146 eV/atom
M_tot readings, ordered: 0.00, 0.02, 0.00, 0.00 μB/atom